Record 1
AlPdN2F, PBEsol geometry, DFT meta-GGA SCAN; formation energy from raw total energies = -0.210 eV per atom; ρ = 5.90 g/cm³; space group = No. 123; calculated total energy = -12.74 eV/atom; DOS(E_F) = 2.8 states/eV/f.u.
1.0
3.465 0.000 0.000
0.000 3.826 0.000
0.000 0.000 3.826
N Pd F Al
2 1 1 1
Direct
0.000 0.500 0.000 N
0.000 0.000 0.500 N
0.500 0.500 0.500 Pd
0.500 0.000 0.000 F
0.000 0.000 0.000 Al

Record 2
AlPtNF2, PBEsol geometry, DFT meta-GGA SCAN; formation energy from raw total energies = -0.172 eV per atom; ρ = 6.08 g/cm³; space group = No. 123; calculated total energy = -19.04 eV/atom; DOS(E_F) = 1.5 states/eV/f.u.
1.0
3.646 0.000 0.000
0.000 4.531 0.000
0.000 0.000 4.531
F Al Pt N
2 1 1 1
Direct
0.000 0.000 0.500 F
0.000 0.500 0.000 F
0.500 0.500 0.500 Al
0.000 0.000 0.000 Pt
0.500 0.000 0.000 N

Record 3
AlSNF2, PBEsol geometry, DFT meta-GGA SCAN; formation energy from raw total energies = -0.024 eV per atom; ρ = 2.73 g/cm³; space group = No. 123; calculated total energy = -6.77 eV/atom; DOS(E_F) = 1.4 states/eV/f.u.
1.0
-2.400 0.439 2.194
0.998 -4.001 1.891
2.929 2.051 2.793
N S Al F
1 1 1 2
Direct
0.500 0.000 0.000 N
0.000 0.000 0.000 S
0.500 0.500 0.500 Al
0.000 0.000 0.500 F
0.000 0.500 0.000 F

Record 4
ScAlN2F, PBEsol geometry, DFT meta-GGA SCAN; formation energy from raw total energies = -1.575 eV per atom; ρ = 3.92 g/cm³; space group = No. 123; calculated total energy = -10.40 eV/atom; DOS(E_F) = 1.1 states/eV/f.u.
1.0
-0.487 2.141 -2.825
-0.306 -3.006 -2.226
-3.706 -0.061 0.592
Al Sc F N
1 1 1 2
Direct
0.000 0.000 0.000 Al
0.500 0.500 0.500 Sc
0.500 0.000 0.000 F
0.000 0.500 0.000 N
0.000 0.000 0.500 N

Record 5
AlTeN2F, PBEsol geometry, DFT meta-GGA SCAN; formation energy from raw total energies = 0.724 eV per atom; ρ = 4.79 g/cm³; space group = No. 123; calculated total energy = -12.70 eV/atom; DOS(E_F) = 2.3 states/eV/f.u.
1.0
4.070 0.000 0.000
0.000 4.070 0.000
0.000 0.000 4.217
F Al Te N
1 1 1 2
Direct
0.000 0.000 0.500 F
0.500 0.500 0.500 Al
0.000 0.000 0.000 Te
0.500 0.000 0.000 N
0.000 0.500 0.000 N

Record 6
NaAlF4, PBEsol geometry, DFT meta-GGA SCAN; formation energy from raw total energies = -3.580 eV per atom; ρ = 2.92 g/cm³; space group = No. 63; calculated total energy = -7.93 eV/atom; DOS(E_F) = 0.0 states/eV/f.u.
1.0
-0.024 3.622 -0.295
-0.384 -0.430 -5.238
-7.460 -1.816 0.696
F Al Na
8 2 2
Direct
0.170 0.013 0.340 F
0.581 0.250 0.161 F
0.419 0.750 0.839 F
0.170 0.487 0.340 F
0.830 0.513 0.660 F
0.830 0.987 0.660 F
0.000 0.000 0.000 F
0.000 0.500 0.000 F
0.085 0.250 0.170 Al
0.915 0.750 0.830 Al
0.695 0.750 0.390 Na
0.305 0.250 0.610 Na